Entry 1:
A plane-wave DFT calculation with PBE was carried out for Cs2RbOsBr6 after structural relaxation.

Calculated values
Its total energy is -34.40 eV/cell. As for the symmetry: Fm-3m, No. 225. The formation energy without anion corrections comes out at -1009 kJ/mol of formula units.

Unit cell a=8.176 b=8.176 c=8.176 alpha=60.00 beta=60.00 gamma=90.00
Fractional coordinates of all 10 atoms:
Cs (0.750, 0.250, 0.500)
Cs (0.250, 0.750, 0.500)
Os (0.000, 0.000, 0.000)
Br (0.219, 0.219, 0.563)
Br (0.781, 0.781, 0.437)
Br (0.219, 0.219, 0.000)
Br (0.781, 0.781, 0.000)
Br (0.781, 0.219, 0.000)
Br (0.219, 0.781, 0.000)
Rb (0.500, 0.500, 0.000)

Entry 2:
A plane-wave DFT calculation with PBE was carried out for HoPd2Pt after structural relaxation.

Calculated values
Its total energy is -24.08 eV/cell. As for the symmetry: Fm-3m, No. 225. As for the energy above the most stable polymorph in this dataset: 178 meV/atom.

Unit cell a=4.654 b=4.654 c=4.654 alpha=60.00 beta=60.00 gamma=60.00
Fractional coordinates of all 4 atoms:
Pd (0.250, 0.250, 0.250)
Pd (0.750, 0.750, 0.750)
Ho (0.000, 0.000, 0.000)
Pt (0.500, 0.500, 0.500)